[1]
DFT (GGA-PBE) results for a geometry-optimized ScCo2 structure.

## Properties
Magnetization ... 0.58 μB per atom
Space-group type ... Pa-3, No. 205
Fermi-level density of states ... 5.2 states/eV/f.u.
ΔH_f (0 K) ... 81.9 kJ/mol of atoms

Cell and atoms, written as POSCAR:
```
ScCo2
1.0
5.8416 0.0000 0.0000
0.0000 5.8416 0.0000
0.0000 0.0000 5.8416
Sc Co
4 8
Cartesian
0.0000 0.0000 0.0000
0.0000 2.9208 2.9208
2.9208 0.0000 2.9208
2.9208 2.9208 0.0000
0.6397 3.5605 5.2019
0.6397 5.2019 2.2811
2.2811 0.6397 5.2019
2.2811 2.2811 2.2811
3.5605 3.5605 3.5605
3.5605 5.2019 0.6397
5.2019 0.6397 3.5605
5.2019 2.2811 0.6397
```

=====

[2]
DFT (GGA-PBE) results for a geometry-optimized Sc3Co4 structure.

## Properties
Magnetization ... 0.55 μB per atom
Space-group type ... P6/mmm, No. 191
Energy above the lowest structure with this stoichiometry ... 4.75 eV/f.u.
Fermi-level density of states ... 10.6 states/eV/f.u.
ΔH_f (0 K) ... 42.4 kJ/mol of atoms

Cell and atoms, written as POSCAR:
```
Sc3Co4
1.0
-5.3154 0.2172 1.6313
1.2863 -1.9931 -5.0334
0.3453 -3.9446 1.6502
Sc Co
3 4
Cartesian
0.6431 -0.9965 -2.5167
-2.0146 -0.8880 -1.7010
-2.6577 0.1086 0.8157
0.0861 -0.9834 0.4114
0.2592 -2.9611 1.2388
-2.9422 -2.4919 0.2348
-0.7416 -3.2286 -1.9867
```

=====

[3]
DFT (GGA-PBE) results for a geometry-optimized ScCo5 structure.

## Properties
Magnetization ... 1.28 μB per atom
Space-group type ... P4/mmm, No. 123
Fermi-level density of states ... 5.2 states/eV/f.u.
ΔH_f (0 K) ... 0.2 kJ/mol of atoms

Cell and atoms, written as POSCAR:
```
ScCo5
1.0
2.9842 0.0000 0.0000
0.0000 2.9842 0.0000
0.0000 0.0000 8.4561
Sc Co
1 5
Cartesian
1.4921 1.4921 0.0000
0.0000 0.0000 6.7534
0.0000 0.0000 1.7027
1.4921 1.4921 5.4758
1.4921 1.4921 2.9803
0.0000 0.0000 4.2280
```

=====

- What is the formula in the second record?
  Sc3Co4

=====

- Which of these has the lowest magnetization?
  Sc3Co4